1.
Below is a geometry-optimized DyYIn2 structure, with properties calculated at the GGA-PBE level.

Properties
total energy	-4.62	eV per atom
M_tot	0.0	μB per cell

Geometry as POSCAR:
```
DyYIn2
1.0
0.000 3.752 3.752
3.752 0.000 3.752
3.752 3.752 0.000
Dy Y In
1 1 2
direct
0.000 0.000 0.000
0.500 0.500 0.500
0.250 0.250 0.250
0.750 0.750 0.750
```

2.
Below is a geometry-optimized Dy2YIn structure, with properties calculated at the GGA-PBE level.

Properties
total energy	-4.87	eV per atom
M_tot	0.4	μB per cell

Geometry as POSCAR:
```
Dy2YIn
1.0
4.832 0.000 0.000
0.000 4.832 0.000
0.000 0.000 4.854
Dy Y In
2 1 1
direct
0.000 0.500 0.000
0.500 0.000 0.000
0.000 0.000 0.500
0.500 0.500 0.500
```

3.
Below is a geometry-optimized DyYIn5 structure, with properties calculated at the GGA-PBE level.

Properties
total energy	-3.85	eV per atom
M_tot	0.0	μB per cell

Geometry as POSCAR:
```
DyYIn5
1.0
4.661 0.000 0.000
0.000 4.661 0.000
0.000 0.000 8.567
Dy Y In
1 1 5
direct
0.000 0.000 0.000
0.000 0.000 0.500
0.000 0.500 0.237
0.000 0.500 0.763
0.500 0.000 0.237
0.500 0.000 0.763
0.500 0.500 0.500
```

4.
Below is a geometry-optimized DyYIn2 structure, with properties calculated at the GGA-PBE level.

Properties
total energy	-4.58	eV per atom
M_tot	0.0	μB per cell

Geometry as POSCAR:
```
DyYIn2
1.0
4.307 0.000 0.000
0.000 2.275 5.733
0.000 -2.275 5.733
Dy Y In
1 1 2
direct
0.000 0.000 0.000
0.500 0.277 0.277
0.000 0.725 0.725
0.500 0.552 0.552
```

5.
Below is a geometry-optimized DyZnIn structure, with properties calculated at the GGA-PBE level.

Properties
total energy	-3.10	eV per atom
M_tot	0.0	μB per cell

Geometry as POSCAR:
```
DyZnIn
1.0
5.103 0.000 0.000
-2.552 4.420 0.000
0.000 0.000 6.177
Dy Zn In
2 2 2
direct
0.333 0.667 0.250
0.667 0.333 0.750
0.000 0.000 0.000
0.000 0.000 0.500
0.333 0.667 0.750
0.667 0.333 0.250
```

6.
Below is a geometry-optimized DyZnIn structure, with properties calculated at the GGA-PBE level.

Properties
total energy	-3.33	eV per atom
M_tot	0.0	μB per cell

Geometry as POSCAR:
```
DyZnIn
1.0
4.649 0.000 0.000
-2.325 4.026 0.000
0.000 0.000 7.295
Dy Zn In
2 2 2
direct
0.000 0.000 0.000
0.000 0.000 0.500
0.333 0.667 0.303
0.667 0.333 0.803
0.333 0.667 0.725
0.667 0.333 0.225
```

7.
Below is a geometry-optimized Dy5Zn4In structure, with properties calculated at the GGA-PBE level.

Properties
total energy	-3.46	eV per atom
M_tot	0.0	μB per cell

Geometry as POSCAR:
```
Dy5Zn4In
1.0
3.572 0.000 0.000
0.000 3.572 0.000
0.000 0.000 18.311
Dy Zn In
5 4 1
direct
0.000 0.000 0.000
0.000 0.000 0.193
0.000 0.000 0.386
0.000 0.000 0.614
0.000 0.000 0.807
0.500 0.500 0.098
0.500 0.500 0.289
0.500 0.500 0.711
0.500 0.500 0.902
0.500 0.500 0.500
```

8.
Below is a geometry-optimized DyZnIn structure, with properties calculated at the GGA-PBE level.

Properties
total energy	-3.30	eV per atom
M_tot	0.4	μB per cell

Geometry as POSCAR:
```
DyZnIn
1.0
7.280 0.000 0.000
0.000 4.670 0.000
0.000 0.000 8.038
Dy Zn In
4 4 4
direct
0.003 0.250 0.225
0.497 0.750 0.725
0.503 0.250 0.275
0.997 0.750 0.775
0.203 0.750 0.416
0.297 0.250 0.916
0.703 0.750 0.084
0.797 0.250 0.584
0.221 0.250 0.586
0.279 0.750 0.086
0.721 0.250 0.914
0.779 0.750 0.414
```

9.
Below is a geometry-optimized Dy2ZnIn structure, with properties calculated at the GGA-PBE level.

Properties
total energy	-3.72	eV per atom
M_tot	0.0	μB per cell

Geometry as POSCAR:
```
Dy2ZnIn
1.0
3.632 0.000 0.000
0.000 3.632 0.000
0.000 0.000 7.436
Dy Zn In
2 1 1
direct
0.000 0.000 0.231
0.000 0.000 0.769
0.500 0.500 0.000
0.500 0.500 0.500
```

10.
Below is a geometry-optimized DyZnIn structure, with properties calculated at the GGA-PBE level.

Properties
total energy	-3.30	eV per atom
M_tot	0.2	μB per cell

Geometry as POSCAR:
```
DyZnIn
1.0
4.682 0.000 0.000
-2.341 4.054 0.000
0.000 0.000 7.186
Dy Zn In
2 2 2
direct
0.000 0.000 0.000
0.000 0.000 0.500
0.333 0.667 0.250
0.667 0.333 0.750
0.333 0.667 0.750
0.667 0.333 0.250
```

11.
Below is a geometry-optimized Dy2Zr2In structure, with properties calculated at the GGA-PBE level.

Properties
total energy	-5.81	eV per atom
M_tot	0.0	μB per cell

Geometry as POSCAR:
```
Dy2Zr2In
1.0
7.787 0.000 0.000
0.000 7.787 0.000
0.000 0.000 4.334
Dy Zr In
4 4 2
direct
0.161 0.339 0.000
0.339 0.839 0.000
0.661 0.161 0.000
0.839 0.661 0.000
0.138 0.638 0.500
0.362 0.138 0.500
0.638 0.862 0.500
0.862 0.362 0.500
0.000 0.000 0.500
0.500 0.500 0.500
```

12.
Below is a geometry-optimized Dy2ZrIn structure, with properties calculated at the GGA-PBE level.

Properties
total energy	-5.32	eV per atom
M_tot	0.0	μB per cell

Geometry as POSCAR:
```
Dy2ZrIn
1.0
4.680 0.000 0.000
0.000 4.680 0.000
0.000 0.000 4.706
Dy Zr In
2 1 1
direct
0.000 0.500 0.000
0.500 0.000 0.000
0.000 0.000 0.500
0.500 0.500 0.500
```

13.
Below is a geometry-optimized DyIr structure, with properties calculated at the GGA-PBE level.

Properties
total energy	-6.52	eV per atom
M_tot	0.0	μB per cell
energy of formation from the pure elements	0.211	eV per atom

Geometry as POSCAR:
```
DyIr
1.0
0.000 3.101 3.101
3.101 0.000 3.101
3.101 3.101 0.000
Dy Ir
1 1
direct
0.000 0.000 0.000
0.750 0.750 0.750
```

14.
Below is a geometry-optimized DyIr2 structure, with properties calculated at the GGA-PBE level.

Properties
total energy	-8.25	eV per atom
M_tot	0.0	μB per cell
energy of formation from the pure elements	-0.814	eV per atom

Geometry as POSCAR:
```
DyIr2
1.0
0.000 3.772 3.772
3.772 0.000 3.772
3.772 3.772 0.000
Dy Ir
2 4
direct
0.125 0.125 0.125
0.875 0.875 0.875
0.000 0.500 0.500
0.500 0.000 0.500
0.500 0.500 0.000
0.500 0.500 0.500
```

15.
Below is a geometry-optimized DyIr structure, with properties calculated at the GGA-PBE level.

Properties
total energy	-7.11	eV per atom
M_tot	0.0	μB per cell
energy of formation from the pure elements	-0.379	eV per atom

Geometry as POSCAR:
```
DyIr
1.0
3.716 0.000 0.000
-1.858 3.218 0.000
0.000 0.000 3.658
Dy Ir
1 1
direct
0.000 0.000 0.000
0.667 0.333 0.500
```

16.
Below is a geometry-optimized LaDyIr structure, with properties calculated at the GGA-PBE level.

Properties
total energy	-5.91	eV per atom
M_tot	0.0	μB per cell
energy of formation from the pure elements	0.215	eV per atom

Geometry as POSCAR:
```
LaDyIr
1.0
0.000 3.380 3.380
3.380 0.000 3.380
3.380 3.380 0.000
La Dy Ir
1 1 1
direct
0.000 0.000 0.000
0.750 0.750 0.750
0.250 0.250 0.250
```

17.
Below is a geometry-optimized La2Dy2Ir structure, with properties calculated at the GGA-PBE level.

Properties
total energy	-5.87	eV per atom
M_tot	0.0	μB per cell
energy of formation from the pure elements	-0.285	eV per atom

Geometry as POSCAR:
```
La2Dy2Ir
1.0
6.183 0.000 0.000
0.000 12.409 0.000
0.000 0.000 4.301
La Dy Ir
4 4 2
direct
0.176 0.123 0.000
0.324 0.623 0.000
0.676 0.377 0.000
0.824 0.877 0.000
0.158 0.361 0.500
0.342 0.861 0.500
0.658 0.139 0.500
0.842 0.639 0.500
0.000 0.000 0.500
0.500 0.500 0.500
```

18.
Below is a geometry-optimized LaDy2Mg3Ir3 structure, with properties calculated at the GGA-PBE level.

Properties
total energy	-5.70	eV per atom
M_tot	0.0	μB per cell

Geometry as POSCAR:
```
LaDy2Mg3Ir3
1.0
4.104 0.000 0.000
0.000 6.340 3.678
0.000 -6.340 3.678
La Dy Mg Ir
1 2 3 3
direct
0.000 0.000 0.000
0.000 0.414 0.823
0.000 0.823 0.414
0.500 0.174 0.420
0.500 0.420 0.174
0.500 0.654 0.654
0.000 0.422 0.422
0.500 0.085 0.746
0.500 0.746 0.085
```

19.
Below is a geometry-optimized LaDy2Mg3Ir2Pd structure, with properties calculated at the GGA-PBE level.

Properties
total energy	-5.31	eV per atom
M_tot	0.0	μB per cell

Geometry as POSCAR:
```
LaDy2Mg3Ir2Pd
1.0
4.047 0.000 0.000
0.000 6.436 3.727
0.000 -6.436 3.727
La Dy Mg Ir Pd
1 2 3 2 1
direct
0.000 0.000 0.000
0.000 0.422 0.838
0.000 0.838 0.422
0.500 0.176 0.427
0.500 0.427 0.176
0.500 0.664 0.664
0.500 0.092 0.753
0.500 0.753 0.092
0.000 0.429 0.429
```

20.
Below is a geometry-optimized LaDy2Mg3Ir2Pt structure, with properties calculated at the GGA-PBE level.

Properties
total energy	-5.50	eV per atom
M_tot	0.0	μB per cell

Geometry as POSCAR:
```
LaDy2Mg3Ir2Pt
1.0
4.069 0.000 0.000
0.000 6.380 3.713
0.000 -6.380 3.713
La Dy Mg Ir Pt
1 2 3 2 1
direct
0.000 0.000 0.000
0.000 0.418 0.830
0.000 0.830 0.418
0.500 0.174 0.424
0.500 0.424 0.174
0.500 0.660 0.660
0.500 0.088 0.749
0.500 0.749 0.088
0.000 0.426 0.426
```